VASP calculation (GGA+U) on a geometry-optimized Fe4O7F structure.

Computed properties:
- E above lowest polymorph (kJ/mol of formula units) = 160
- total magnetization (Bohr magnetons per cell) = 24.16
- DFT total energy (eV per atom) = -6.000
- symmetry = No. 12

Cell lengths 5.4281, 5.4281, 8.8311 Å; angles 85.85, 85.85, 70.92 degrees
Each line ends with the local moment (μB).
Sites, in units of the cell vectors:
Fe (0.1386, 0.1386, 0.3889)  4.13
Fe (0.3722, 0.3722, 0.1205)  2.68
Fe (0.5000, 0.5000, 0.5000)  2.58
Fe (0.2665, 0.2665, 0.7550)  2.66
Fe (0.7335, 0.7335, 0.2450)  2.66
Fe (0.6278, 0.6278, 0.8795)  2.68
Fe (0.8614, 0.8614, 0.6111)  4.13
Fe (0.0000, 0.0000, 0.0000)  4.23
O (0.0496, 0.4404, 0.2482)  -0.11
O (0.1971, 0.8029, 0.5000)  -0.01
O (0.4404, 0.0496, 0.2482)  -0.11
O (0.2870, 0.2870, 0.5390)  -0.07
O (0.5193, 0.5193, 0.2769)  -0.27
O (0.7741, 0.7741, 0.0276)  -0.14
O (0.4807, 0.4807, 0.7231)  -0.27
O (0.2259, 0.2259, 0.9724)  -0.14
O (0.7130, 0.7130, 0.4610)  -0.07
O (0.5596, 0.9504, 0.7518)  -0.11
O (0.8029, 0.1971, 0.5000)  -0.01
O (0.3071, 0.6929, 0.0000)  -0.14
O (0.9504, 0.5596, 0.7518)  -0.11
O (0.6929, 0.3071, 0.0000)  -0.14
F (0.0369, 0.0369, 0.7733)  0.07
F (0.9631, 0.9631, 0.2267)  0.07